No. 1
# CaVSb2I, relaxed, DFT GGA-PBE
data_CaVSb2I
_space_group_name_H-M_alt 'P 4/m m m'
_space_group_IT_number 123
_space_group_name_Hall '-P 4 2'
_cell_length_a 5.124
_cell_length_b 5.124
_cell_length_c 5.944
_cell_angle_alpha 90.00
_cell_angle_beta 90.00
_cell_angle_gamma 90.00
loop_
_atom_site_label
_atom_site_type_symbol
_atom_site_fract_x
_atom_site_fract_y
_atom_site_fract_z
Ca1 Ca 0.000 0.000 0.000
V1 V 0.500 0.500 0.500
Sb1 Sb 0.000 0.500 0.500
I1 I 0.500 0.500 0.000
# Raw formation energy in eV/atom: -0.142
# Offset from the most stable computed form in meV/atom: 0.0
# Fermi-level density of states in states/eV/cell: 2.6
# Total DFT energy (no corrections) in eV/cell: -21.6
# V in A^3/atom: 31.21

=====

No. 2
# CaVSbI2, relaxed, DFT GGA-PBE
data_CaVSbI2
_space_group_name_H-M_alt 'P 4/m m m'
_space_group_IT_number 123
_space_group_name_Hall '-P 4 2'
_cell_length_a 5.568
_cell_length_b 5.568
_cell_length_c 5.354
_cell_angle_alpha 90.00
_cell_angle_beta 90.00
_cell_angle_gamma 90.00
loop_
_atom_site_label
_atom_site_type_symbol
_atom_site_fract_x
_atom_site_fract_y
_atom_site_fract_z
Ca1 Ca 0.000 0.000 0.000
V1 V 0.500 0.500 0.500
Sb1 Sb 0.500 0.500 0.000
I1 I 0.000 0.500 0.500
# Raw formation energy in eV/atom: -0.222
# Offset from the most stable computed form in meV/atom: 0.0
# Fermi-level density of states in states/eV/cell: 3.2
# Total DFT energy (no corrections) in eV/cell: -19.5
# V in A^3/atom: 33.20

=====

No. 3
# CaSb2WI, relaxed, DFT GGA-PBE
data_CaSb2WI
_space_group_name_H-M_alt 'P 4/m m m'
_space_group_IT_number 123
_space_group_name_Hall '-P 4 2'
_cell_length_a 5.210
_cell_length_b 5.210
_cell_length_c 5.997
_cell_angle_alpha 90.00
_cell_angle_beta 90.00
_cell_angle_gamma 90.00
loop_
_atom_site_label
_atom_site_type_symbol
_atom_site_fract_x
_atom_site_fract_y
_atom_site_fract_z
Ca1 Ca 0.000 0.000 0.000
Sb1 Sb 0.000 0.500 0.500
W1 W 0.500 0.500 0.500
I1 I 0.500 0.500 0.000
# Raw formation energy in eV/atom: 0.259
# Offset from the most stable computed form in meV/atom: 0.0
# Fermi-level density of states in states/eV/cell: 4.6
# Total DFT energy (no corrections) in eV/cell: -23.5
# V in A^3/atom: 32.55

=====

No. 4
# CaSbWI2, relaxed, DFT GGA-PBE
data_CaSbWI2
_space_group_name_H-M_alt 'P 4/m m m'
_space_group_IT_number 123
_space_group_name_Hall '-P 4 2'
_cell_length_a 5.645
_cell_length_b 5.645
_cell_length_c 5.316
_cell_angle_alpha 90.00
_cell_angle_beta 90.00
_cell_angle_gamma 90.00
loop_
_atom_site_label
_atom_site_type_symbol
_atom_site_fract_x
_atom_site_fract_y
_atom_site_fract_z
Ca1 Ca 0.000 0.000 0.000
Sb1 Sb 0.500 0.500 0.000
W1 W 0.500 0.500 0.500
I1 I 0.000 0.500 0.500
# Raw formation energy in eV/atom: 0.313
# Offset from the most stable computed form in meV/atom: 0.0
# Fermi-level density of states in states/eV/cell: 2.5
# Total DFT energy (no corrections) in eV/cell: -20.6
# V in A^3/atom: 33.88

=====

No. 5
# CaSb2WI, relaxed, DFT GGA-PBE
data_CaSb2WI
_space_group_name_H-M_alt 'P 4/m m m'
_space_group_IT_number 123
_space_group_name_Hall '-P 4 2'
_cell_length_a 5.812
_cell_length_b 5.812
_cell_length_c 5.660
_cell_angle_alpha 90.00
_cell_angle_beta 90.00
_cell_angle_gamma 90.00
loop_
_atom_site_label
_atom_site_type_symbol
_atom_site_fract_x
_atom_site_fract_y
_atom_site_fract_z
Ca1 Ca 0.000 0.000 0.000
Sb1 Sb 0.000 0.500 0.000
W1 W 0.500 0.500 0.500
I1 I 0.000 0.000 0.500
# Raw formation energy in eV/atom: 1.463
# Offset from the most stable computed form in meV/atom: 1203.8
# Fermi-level density of states in states/eV/cell: 8.3
# Total DFT energy (no corrections) in eV/cell: -17.4
# V in A^3/atom: 38.24

=====

No. 6
# CaZnSbI2, relaxed, DFT GGA-PBE
data_CaZnSbI2
_space_group_name_H-M_alt 'P 4/m m m'
_space_group_IT_number 123
_space_group_name_Hall '-P 4 2'
_cell_length_a 5.624
_cell_length_b 5.624
_cell_length_c 5.367
_cell_angle_alpha 90.00
_cell_angle_beta 90.00
_cell_angle_gamma 90.00
loop_
_atom_site_label
_atom_site_type_symbol
_atom_site_fract_x
_atom_site_fract_y
_atom_site_fract_z
Ca1 Ca 0.000 0.000 0.000
Zn1 Zn 0.500 0.500 0.500
Sb1 Sb 0.500 0.500 0.000
I1 I 0.000 0.500 0.500
# Raw formation energy in eV/atom: -0.236
# Offset from the most stable computed form in meV/atom: 0.0
# Fermi-level density of states in states/eV/cell: 4.2
# Total DFT energy (no corrections) in eV/cell: -11.7
# V in A^3/atom: 33.95